# 1
Material: BiPt
Method: DFT, GGA-PBE
State: relaxed

Calculated values
Magnetization ... 0.00 Bohr magnetons per cell
Total energy ... -42.13 eV for the cell shown

```
data_BiPt
_chemical_formula_sum 'Bi4 Pt4'
_cell_length_a 3.931
_cell_length_b 10.758
_cell_length_c 4.181
_cell_angle_alpha 90.00
_cell_angle_beta 90.00
_cell_angle_gamma 90.00
_space_group_name_H-M_alt 'C m c m'
_space_group_IT_number 63
_space_group_name_Hall '-C 2c 2'
loop_
_atom_site_label
_atom_site_type_symbol
_atom_site_fract_x
_atom_site_fract_y
_atom_site_fract_z
Bi1 Bi 0.000 0.144 0.250
Pt1 Pt 0.000 0.411 0.250
```



# 2
Material: NaSrPd
Method: DFT, GGA-PBE
State: relaxed

Calculated values
Distance to the lowest polymorph of the same formula ... 0 meV/atom

```
data_NaSrPd
_chemical_formula_sum 'Na4 Sr4 Pd4'
_cell_length_a 7.171
_cell_length_b 7.171
_cell_length_c 7.171
_cell_angle_alpha 90.00
_cell_angle_beta 90.00
_cell_angle_gamma 90.00
_space_group_name_H-M_alt 'F -4 3 m'
_space_group_IT_number 216
_space_group_name_Hall 'F -4 2 3'
loop_
_atom_site_label
_atom_site_type_symbol
_atom_site_fract_x
_atom_site_fract_y
_atom_site_fract_z
Na1 Na 0.000 0.000 0.000
Sr1 Sr 0.000 0.000 0.500
Pd1 Pd 0.250 0.250 0.250
```



# 3
Material: BeAgSO
Method: DFT, GGA-PBE
State: relaxed

Calculated values
Distance to the lowest polymorph of the same formula ... 0 meV/atom

```
data_BeAgSO
_chemical_formula_sum 'Be8 Ag8 S8 O8'
_cell_length_a 4.721
_cell_length_b 18.406
_cell_length_c 5.247
_cell_angle_alpha 90.00
_cell_angle_beta 90.00
_cell_angle_gamma 90.00
_space_group_name_H-M_alt 'P b c a'
_space_group_IT_number 61
loop_
_space_group_symop_operation_xyz
'x,y,z'
'-x,-y,-z'
'-x+1/2,-y,z+1/2'
'x+1/2,y,-z+1/2'
'x+1/2,-y+1/2,-z'
'-x+1/2,y+1/2,z'
'-x,y+1/2,-z+1/2'
'x,-y+1/2,z+1/2'
loop_
_atom_site_label
_atom_site_type_symbol
_atom_site_fract_x
_atom_site_fract_y
_atom_site_fract_z
Be1 Be 0.233 0.244 0.124
Ag1 Ag 0.247 0.077 0.584
S1 S 0.248 0.080 0.078
O1 O 0.097 0.746 0.375
```



# 4
Material: DyEr2Al3NiAg2
Method: DFT, GGA-PBE
State: relaxed

Calculated values
Magnetization ... 0.00 Bohr magnetons per cell
Total energy ... -81.33 eV for the cell shown

```
data_DyEr2Al3NiAg2
_chemical_formula_sum 'Dy2 Er4 Al6 Ni2 Ag4'
_cell_length_a 4.114
_cell_length_b 12.374
_cell_length_c 7.130
_cell_angle_alpha 90.00
_cell_angle_beta 90.00
_cell_angle_gamma 90.00
_space_group_name_H-M_alt 'A m m 2'
_space_group_IT_number 38
loop_
_space_group_symop_operation_xyz
'x,y,z'
'-x,-y,z'
'-x,y,z'
'x,-y,z'
'x,y+1/2,z+1/2'
'-x,-y+1/2,z+1/2'
'-x,y+1/2,z+1/2'
'x,-y+1/2,z+1/2'
loop_
_atom_site_label
_atom_site_type_symbol
_atom_site_fract_x
_atom_site_fract_y
_atom_site_fract_z
Dy1 Dy 0.000 0.000 0.000
Er1 Er 0.000 0.199 0.402
Al1 Al 0.500 0.000 0.377
Al2 Al 0.500 0.112 0.713
Ni1 Ni 0.000 0.000 0.599
Ag1 Ag 0.500 0.168 0.101
```



# 5
Material: ScCoSiPd
Method: DFT, GGA-PBE
State: relaxed

Calculated values
Magnetization ... 5.68 Bohr magnetons per cell
Distance to the lowest polymorph of the same formula ... 247 meV/atom

```
data_ScCoSiPd
_chemical_formula_sum 'Sc4 Co4 Si4 Pd4'
_cell_length_a 6.217
_cell_length_b 6.217
_cell_length_c 6.217
_cell_angle_alpha 90.00
_cell_angle_beta 90.00
_cell_angle_gamma 90.00
_space_group_name_H-M_alt 'F -4 3 m'
_space_group_IT_number 216
_space_group_name_Hall 'F -4 2 3'
loop_
_atom_site_label
_atom_site_type_symbol
_atom_site_fract_x
_atom_site_fract_y
_atom_site_fract_z
Sc1 Sc 0.000 0.000 0.000
Co1 Co 0.000 0.000 0.500
Si1 Si 0.250 0.250 0.250
Pd1 Pd 0.250 0.250 0.750
```



# 6
Material: RbBePbAu
Method: DFT, GGA-PBE
State: relaxed

Calculated values
Distance to the lowest polymorph of the same formula ... 109 meV/atom

```
data_RbBePbAu
_chemical_formula_sum 'Rb4 Be4 Pb4 Au4'
_cell_length_a 7.411
_cell_length_b 7.411
_cell_length_c 7.411
_cell_angle_alpha 90.00
_cell_angle_beta 90.00
_cell_angle_gamma 90.00
_space_group_name_H-M_alt 'F -4 3 m'
_space_group_IT_number 216
_space_group_name_Hall 'F -4 2 3'
loop_
_atom_site_label
_atom_site_type_symbol
_atom_site_fract_x
_atom_site_fract_y
_atom_site_fract_z
Rb1 Rb 0.000 0.000 0.000
Be1 Be 0.000 0.000 0.500
Pb1 Pb 0.250 0.250 0.250
Au1 Au 0.250 0.250 0.750
```